Entry 1:
! Pm2BiTe2 | Alexandria | GGA-PBE | relaxed; values from VASP
! Formation energy without anion corrections = -1.01 eV per atom
! Space group = No. 166
! Mass density = 6.538 g cm⁻³
&SYSTEM
  ibrav = 0, nat = 5, ntyp = 3
/
ATOMIC_SPECIES
Pm 145.00 Pm.upf
Bi 208.98 Bi.upf
Te 127.60 Te.upf
CELL_PARAMETERS angstrom
4.509 0.000 0.000
2.255 3.905 0.000
2.255 1.302 10.878
ATOMIC_POSITIONS crystal
Pm 0.604 0.604 0.188
Pm 0.396 0.396 0.812
Bi 0.000 0.000 0.000
Te 0.220 0.220 0.339
Te 0.780 0.780 0.661

=====

Entry 2:
! PmTh2Bi2Te2 | Alexandria | GGA-PBE | relaxed; values from VASP
! Formation energy without anion corrections = -0.42 eV per atom
! Space group = No. 139
! Mass density = 7.618 g cm⁻³
&SYSTEM
  ibrav = 0, nat = 7, ntyp = 4
/
ATOMIC_SPECIES
Pm 145.00 Pm.upf
Th 232.04 Th.upf
Bi 208.98 Bi.upf
Te 127.60 Te.upf
CELL_PARAMETERS angstrom
5.968 0.000 0.000
0.000 5.968 0.000
-2.984 -2.984 7.847
ATOMIC_POSITIONS crystal
Pm 0.000 0.000 0.000
Th 0.388 0.388 0.776
Th 0.612 0.612 0.224
Bi 0.000 0.500 0.000
Bi 0.500 0.000 0.000
Te 0.197 0.197 0.395
Te 0.803 0.803 0.605

=====

Entry 3:
! Pm6Tl2BiTe3 | Alexandria | GGA-PBE | relaxed; values from VASP
! Formation energy without anion corrections = -0.98 eV per atom
! Space group = No. 12
! Mass density = 8.022 g cm⁻³
&SYSTEM
  ibrav = 0, nat = 12, ntyp = 4
/
ATOMIC_SPECIES
Pm 145.00 Pm.upf
Tl 204.38 Tl.upf
Bi 208.98 Bi.upf
Te 127.60 Te.upf
CELL_PARAMETERS angstrom
-0.122 2.667 3.509
-3.972 -6.675 4.934
9.849 -2.480 -0.543
ATOMIC_POSITIONS crystal
Pm 0.332 0.910 0.665
Pm 0.665 0.591 0.329
Pm 0.668 0.090 0.335
Pm 0.003 0.251 0.007
Pm 0.997 0.749 0.993
Pm 0.335 0.409 0.671
Tl 0.830 0.656 0.660
Tl 0.170 0.344 0.340
Bi 0.500 0.000 0.000
Te 0.500 0.500 0.000
Te 0.836 0.161 0.672
Te 0.164 0.839 0.328

=====

Entry 4:
! Pm6TlBi2Te3 | Alexandria | GGA-PBE | relaxed; values from VASP
! Formation energy without anion corrections = -1.09 eV per atom
! Space group = No. 12
! Mass density = 7.953 g cm⁻³
&SYSTEM
  ibrav = 0, nat = 12, ntyp = 4
/
ATOMIC_SPECIES
Pm 145.00 Pm.upf
Tl 204.38 Tl.upf
Bi 208.98 Bi.upf
Te 127.60 Te.upf
CELL_PARAMETERS angstrom
4.494 0.000 0.000
0.000 9.078 0.356
-2.247 -2.584 9.495
ATOMIC_POSITIONS crystal
Pm 0.337 0.918 0.674
Pm 0.667 0.582 0.335
Pm 0.663 0.082 0.326
Pm 0.999 0.245 0.999
Pm 0.001 0.755 0.001
Pm 0.333 0.418 0.665
Tl 0.500 0.000 0.000
Bi 0.834 0.666 0.667
Bi 0.166 0.334 0.333
Te 0.500 0.500 0.000
Te 0.831 0.167 0.662
Te 0.169 0.833 0.338

=====

Entry 5:
! PmTmBiTe | Alexandria | GGA-PBE | relaxed; values from VASP
! Formation energy without anion corrections = -1.07 eV per atom
! Space group = No. 99
! Mass density = 8.664 g cm⁻³
&SYSTEM
  ibrav = 0, nat = 4, ntyp = 4
/
ATOMIC_SPECIES
Pm 145.00 Pm.upf
Tm 168.93 Tm.upf
Bi 208.98 Bi.upf
Te 127.60 Te.upf
CELL_PARAMETERS angstrom
4.458 0.000 0.000
0.000 4.449 0.284
0.000 -0.400 6.260
ATOMIC_POSITIONS crystal
Pm 0.500 0.391 0.093
Tm 0.000 0.892 0.592
Bi 0.000 0.891 0.092
Te 0.500 0.392 0.593

=====

Entry 6:
! PmTh5Bi6 | Alexandria | GGA-PBE | relaxed; values from VASP
! Energy of formation from the pure elements = -723 kJ/mol of formula units
! Space group = No. 12
! Mass density = 10.330 g cm⁻³
&SYSTEM
  ibrav = 0, nat = 12, ntyp = 3
/
ATOMIC_SPECIES
Bi 208.98 Bi.upf
Th 232.04 Th.upf
Pm 145.00 Pm.upf
CELL_PARAMETERS angstrom
-2.909 -5.761 -4.675
-3.982 -5.254 4.441
-7.773 1.009 1.338
ATOMIC_POSITIONS crystal
Bi 0.751 0.083 0.332
Bi 0.249 0.585 0.332
Bi 0.250 0.248 0.000
Bi 0.750 0.752 0.000
Bi 0.751 0.415 0.668
Bi 0.249 0.917 0.668
Th 0.500 0.167 0.666
Th 0.000 0.334 0.332
Th 0.500 0.500 0.000
Th 0.000 0.666 0.668
Th 0.500 0.833 0.334
Pm 0.000 0.000 0.000

=====

Entry 7:
! Pm2ThBi | Alexandria | GGA-PBE | relaxed; values from VASP
! Polymorph energy (0 for the lowest one) = 26 meV/atom
! Energy of formation from the pure elements = -134 kJ/mol of formula units
! Space group = No. 123
! Mass density = 9.911 g cm⁻³
&SYSTEM
  ibrav = 0, nat = 4, ntyp = 3
/
ATOMIC_SPECIES
Bi 208.98 Bi.upf
Th 232.04 Th.upf
Pm 145.00 Pm.upf
CELL_PARAMETERS angstrom
4.767 0.000 0.000
0.000 5.069 0.000
0.000 0.000 5.069
ATOMIC_POSITIONS crystal
Bi 0.500 0.000 0.000
Th 0.500 0.500 0.500
Pm 0.000 0.000 0.500
Pm 0.000 0.500 0.000

=====

Entry 8:
! PmTh4Bi5 | Alexandria | GGA-PBE | relaxed; values from VASP
! Energy of formation from the pure elements = -616 kJ/mol of formula units
! Space group = No. 71
! Mass density = 10.263 g cm⁻³
&SYSTEM
  ibrav = 0, nat = 10, ntyp = 3
/
ATOMIC_SPECIES
Pm 145.00 Pm.upf
Th 232.04 Th.upf
Bi 208.98 Bi.upf
CELL_PARAMETERS angstrom
-2.377 -0.259 3.920
3.811 -4.861 1.990
6.439 10.153 1.886
ATOMIC_POSITIONS crystal
Pm 0.000 0.000 0.000
Th 0.400 0.400 0.801
Th 0.800 0.800 0.600
Th 0.200 0.200 0.400
Th 0.600 0.600 0.199
Bi 0.599 0.099 0.198
Bi 0.800 0.300 0.600
Bi 0.200 0.700 0.400
Bi 0.000 0.500 0.000
Bi 0.401 0.901 0.802

=====

Entry 9:
! PmTh4Bi6 | Alexandria | GGA-PBE | relaxed; values from VASP
! Energy of formation from the pure elements = -547 kJ/mol of formula units
! Space group = No. 167
! Mass density = 10.494 g cm⁻³
&SYSTEM
  ibrav = 0, nat = 22, ntyp = 3
/
ATOMIC_SPECIES
Pm 145.00 Pm.upf
Th 232.04 Th.upf
Bi 208.98 Bi.upf
CELL_PARAMETERS angstrom
-2.489 -2.001 -8.447
7.728 -4.515 -1.205
-3.955 -7.562 2.954
ATOMIC_POSITIONS crystal
Pm 0.500 0.500 0.500
Pm 0.000 0.000 0.000
Th 0.355 0.145 0.250
Th 0.855 0.250 0.355
Th 0.250 0.645 0.145
Th 0.250 0.250 0.750
Th 0.750 0.750 0.250
Th 0.750 0.355 0.855
Th 0.145 0.750 0.645
Th 0.645 0.855 0.750
Bi 0.668 0.063 0.080
Bi 0.080 0.332 0.063
Bi 0.580 0.437 0.168
Bi 0.937 0.080 0.668
Bi 0.563 0.168 0.580
Bi 0.168 0.420 0.437
Bi 0.832 0.580 0.563
Bi 0.437 0.832 0.420
Bi 0.063 0.920 0.332
Bi 0.420 0.563 0.832
Bi 0.920 0.668 0.937
Bi 0.332 0.937 0.920

=====

Entry 10:
! PmTh3Bi4 | Alexandria | GGA-PBE | relaxed; values from VASP
! Energy of formation from the pure elements = -508 kJ/mol of formula units
! Space group = No. 65
! Mass density = 10.164 g cm⁻³
&SYSTEM
  ibrav = 0, nat = 8, ntyp = 3
/
ATOMIC_SPECIES
Pm 145.00 Pm.upf
Th 232.04 Th.upf
Bi 208.98 Bi.upf
CELL_PARAMETERS angstrom
4.587 0.000 0.000
0.000 7.957 -0.070
0.000 -2.575 7.529
ATOMIC_POSITIONS crystal
Pm 0.500 0.000 0.000
Th 0.000 0.000 0.500
Th 0.500 0.500 0.500
Th 0.000 0.500 0.000
Bi 0.000 0.249 0.249
Bi 0.500 0.751 0.249
Bi 0.000 0.751 0.751
Bi 0.500 0.249 0.751

=====

Entry 11:
! Pm2ThBi | Alexandria | GGA-PBE | relaxed; values from VASP
! Polymorph energy (0 for the lowest one) = 382 meV/atom
! Energy of formation from the pure elements = 3 kJ/mol of formula units
! Space group = No. 166
! Mass density = 8.876 g cm⁻³
&SYSTEM
  ibrav = 0, nat = 4, ntyp = 3
/
ATOMIC_SPECIES
Bi 208.98 Bi.upf
Th 232.04 Th.upf
Pm 145.00 Pm.upf
CELL_PARAMETERS angstrom
3.595 0.000 0.000
1.798 3.114 0.000
1.798 1.038 12.216
ATOMIC_POSITIONS crystal
Bi 0.000 0.000 0.000
Th 0.500 0.500 0.500
Pm 0.088 0.088 0.735
Pm 0.912 0.912 0.265

=====

Entry 12:
! PmThBi3 | Alexandria | GGA-PBE | relaxed; values from VASP
! Energy of formation from the pure elements = -227 kJ/mol of formula units
! Space group = No. 51
! Mass density = 9.279 g cm⁻³
&SYSTEM
  ibrav = 0, nat = 10, ntyp = 3
/
ATOMIC_SPECIES
Pm 145.00 Pm.upf
Th 232.04 Th.upf
Bi 208.98 Bi.upf
CELL_PARAMETERS angstrom
-3.409 -3.875 2.632
-2.953 -3.262 -8.626
4.797 -4.245 -0.037
ATOMIC_POSITIONS crystal
Pm 0.500 0.169 0.311
Pm 0.500 0.831 0.811
Th 0.000 0.637 0.311
Th 0.000 0.363 0.811
Bi 0.500 0.500 0.561
Bi 0.500 0.162 0.811
Bi 0.000 0.290 0.311
Bi 0.500 0.500 0.061
Bi 0.000 0.710 0.811
Bi 0.500 0.838 0.311